A relaxed structure of CaZr2Tl, computed with PBE.

Cell: 4.565 4.565 9.483 Å, 90.00 90.00 90.00°
Fractional coordinates of all 8 atoms:
Ca: 0.000 0.000 0.000
Ca: 0.500 0.500 0.500
Zr: 0.000 0.000 0.500
Zr: 0.000 0.500 0.250
Zr: 0.500 0.000 0.750
Zr: 0.500 0.500 0.000
Tl: 0.000 0.500 0.750
Tl: 0.500 0.000 0.250

Values from the calculation:
Energy above the most stable polymorph in this dataset, meV per atom: 177
Formation enthalpy at 0 K, kJ/mol of formula units: 54.5

A relaxed structure of BaScAlPt2, computed with PBE.

Cell: 4.356 4.356 12.074 Å, 90.00 90.00 90.00°
Fractional coordinates of all 10 atoms:
Ba: 0.000 0.000 0.000
Ba: 0.500 0.500 0.500
Sc: 0.000 0.500 0.750
Sc: 0.500 0.000 0.250
Al: 0.000 0.500 0.250
Al: 0.500 0.000 0.750
Pt: 0.000 0.000 0.378
Pt: 0.000 0.000 0.622
Pt: 0.500 0.500 0.122
Pt: 0.500 0.500 0.878

Values from the calculation:
Formation enthalpy at 0 K, kJ/mol of formula units: -454.9

Q: Which formula does entry 2 have?
A: BaScAlPt2

Q: Among the records above, which one has the highest formation enthalpy at 0 K?
A: CaZr2Tl

Q: formation enthalpy at 0 K of number 1 (CaZr2Tl)?
A: 54.5 kJ/mol of formula units

Q: Which formula does entry 2 have?
A: BaScAlPt2